(1)
A plane-wave DFT calculation with PBE was carried out for a relaxed structure of MgPBr. Values from VASP.

## Properties
space-group type: No. 216
theoretical density: 3.23 g/cm³
energy relative to the lowest polymorph listed for this composition: 85.34 kJ/mol of atoms

Cell and atoms, written as Quantum ESPRESSO input:
```
&SYSTEM
  ibrav = 0, nat = 3, ntyp = 3
/
ATOMIC_SPECIES
Mg 24.30 Mg.upf
P 30.97 P.upf
Br 79.90 Br.upf
ATOMIC_POSITIONS crystal
Mg 0.000 0.000 0.000
P 0.250 0.250 0.250
Br 0.750 0.750 0.750
CELL_PARAMETERS angstrom
0.000 3.264 3.264
3.264 0.000 3.264
3.264 3.264 0.000
```


(2)
A plane-wave DFT calculation with PBE was carried out for a relaxed structure of MgP2Br. Values from VASP.

## Properties
space-group type: No. 123
theoretical density: 3.62 g/cm³
energy relative to the lowest polymorph listed for this composition: 87.92 kJ/mol of atoms

Cell and atoms, written as Quantum ESPRESSO input:
```
&SYSTEM
  ibrav = 0, nat = 4, ntyp = 3
/
ATOMIC_SPECIES
Mg 24.30 Mg.upf
P 30.97 P.upf
Br 79.90 Br.upf
ATOMIC_POSITIONS crystal
Mg 0.000 0.000 0.000
P 0.000 0.500 0.500
P 0.500 0.000 0.500
Br 0.500 0.500 0.000
CELL_PARAMETERS angstrom
4.992 0.000 0.000
0.000 4.992 0.000
0.000 0.000 3.059
```


(3)
A plane-wave DFT calculation with PBE was carried out for a relaxed structure of MgPBr. Values from VASP.

## Properties
space-group type: No. 1
theoretical density: 2.41 g/cm³
energy relative to the lowest polymorph listed for this composition: 10.59 kJ/mol of atoms

Cell and atoms, written as Quantum ESPRESSO input:
```
&SYSTEM
  ibrav = 0, nat = 6, ntyp = 3
/
ATOMIC_SPECIES
Mg 24.30 Mg.upf
P 30.97 P.upf
Br 79.90 Br.upf
ATOMIC_POSITIONS crystal
Mg 0.000 0.000 0.000
Mg 0.004 0.437 0.000
P 0.096 0.780 0.799
P 0.490 0.712 0.020
Br 0.593 0.279 0.805
Br 0.868 0.135 0.271
CELL_PARAMETERS angstrom
3.488 0.000 0.000
0.005 7.422 0.000
1.667 2.276 7.200
```